No. 1
A relaxed La3MgN crystal. Source: the Alexandria database, functional PBE-GGA.

abc: 8.0550 8.0550 8.0550
angles: 127.58 127.58 77.30
Last column: nearest neighbours and their distance in Å.
Positions (direct):
1 La 0.1238 0.1238 0.0000  1 La 3.11
2 La 0.3652 0.6177 0.7475  2 N 2.33-2.42
3 La 0.3823 0.1298 0.7475  2 N 2.33-2.42
4 La 0.3823 0.6348 0.2525  2 N 2.33-2.42
5 La 0.8702 0.6177 0.2525  2 N 2.33-2.42
6 La 0.8762 0.8762 0.0000  1 La 3.11
7 Mg 0.6307 0.1307 0.5000  1 Mg 3.00
8 Mg 0.8693 0.3693 0.5000  1 Mg 3.00
9 N 0.2500 0.7500 0.5000  4 La 2.42
10 N 0.5000 0.5000 0.0000  4 La 2.33

Results
**E above lowest polymorph**: 1.68 eV/f.u.
**Crystal system**: tetragonal
**Energy relative to the elements, uncorrected**: -0.286 eV/atom

***

No. 2
A relaxed La6Mg3N crystal. Source: the Alexandria database, functional PBE-GGA.

abc: 8.5678 8.5678 8.5678
angles: 79.50 79.50 79.50
Last column: nearest neighbours and their distance in Å.
Positions (direct):
1 La 0.1320 0.8063 0.8063  1 N 2.53
2 La 0.1937 0.1937 0.8680  1 N 2.53
3 La 0.1937 0.8680 0.1937  1 N 2.53
4 La 0.2018 0.5208 0.5208  1 N 2.50
5 La 0.4792 0.4792 0.7982  1 N 2.50
6 La 0.4792 0.7982 0.4792  1 N 2.50
7 La 0.5208 0.2018 0.5208  1 N 2.50
8 La 0.5208 0.5208 0.2018  1 N 2.50
9 La 0.7982 0.4792 0.4792  1 N 2.50
10 La 0.8063 0.1320 0.8063  1 N 2.53
11 La 0.8063 0.8063 0.1320  1 N 2.53
12 La 0.8680 0.1937 0.1937  1 N 2.53
13 Mg 0.1403 0.1403 0.4710  9 La 3.51-3.73, 3 Mg 3.61-3.62
14 Mg 0.1403 0.4710 0.1403  9 La 3.51-3.73, 3 Mg 3.61-3.62
15 Mg 0.4710 0.1403 0.1403  9 La 3.51-3.73, 3 Mg 3.61-3.62
16 Mg 0.5290 0.8597 0.8597  9 La 3.51-3.73, 3 Mg 3.61-3.62
17 Mg 0.8597 0.5290 0.8597  9 La 3.51-3.73, 3 Mg 3.61-3.62
18 Mg 0.8597 0.8597 0.5290  9 La 3.51-3.73, 3 Mg 3.61-3.62
19 N 0.0000 0.0000 0.0000  6 La 2.53
20 N 0.5000 0.5000 0.5000  6 La 2.50

Results
**Crystal system**: trigonal
**Energy relative to the elements, uncorrected**: -0.270 eV/atom

***

No. 3
A relaxed La3MgN crystal. Source: the Alexandria database, functional PBE-GGA.

abc: 4.6171 4.6171 8.8842
angles: 90.00 90.00 90.00
Last column: nearest neighbours and their distance in Å.
Positions (direct):
1 La 0.0000 0.0000 0.0000  1 Mg 3.37, 4 La 3.63
2 La 0.0000 0.5000 0.6847  2 N 2.43
3 La 0.5000 0.0000 0.6847  2 N 2.43
4 Mg 0.0000 0.0000 0.3792  5 La 3.37-3.56
5 N 0.5000 0.5000 0.7718  4 La 2.43

Results
**E above lowest polymorph**: 4.26 eV/f.u.
**Crystal system**: tetragonal
**Energy relative to the elements, uncorrected**: 0.229 eV/atom

***

No. 4
A relaxed La3MgN crystal. Source: the Alexandria database, functional PBE-GGA.

abc: 8.1274 8.1274 5.1999
angles: 90.00 90.00 126.07
Last column: nearest neighbours and their distance in Å.
Positions (direct):
1 La 0.0000 0.5000 0.5000  2 N 2.56
2 La 0.1314 0.8686 0.0000  2 N 2.60
3 La 0.2372 0.2372 0.5000  2 N 2.54
4 La 0.5000 0.0000 0.5000  2 N 2.56
5 La 0.7628 0.7628 0.5000  2 N 2.54
6 La 0.8686 0.1314 0.0000  2 N 2.60
7 Mg 0.3810 0.6190 0.0000  1 Mg 3.45, 11 La 3.62-3.71
8 Mg 0.6190 0.3810 0.0000  1 Mg 3.45, 11 La 3.62-3.71
9 N 0.1271 0.8729 0.5000  6 La 2.54-2.60
10 N 0.8729 0.1271 0.5000  6 La 2.54-2.60

Results
**E above lowest polymorph**: 0.09 eV/f.u.
**Crystal system**: orthorhombic
**Energy relative to the elements, uncorrected**: -0.604 eV/atom

***

No. 5
A relaxed La3MgN crystal. Source: the Alexandria database, functional PBE-GGA.

abc: 9.4708 9.4708 6.6847
angles: 107.00 107.00 78.26
Last column: nearest neighbours and their distance in Å.
Positions (direct):
1 La 0.0314 0.5623 0.3090  1 N 2.44
2 La 0.0547 0.1706 0.1967  3 N 2.41-2.61
3 La 0.1706 0.0547 0.6967  3 N 2.41-2.61
4 La 0.3415 0.4312 0.0150  3 Mg 3.45-3.59, 6 La 3.51-3.81
5 La 0.4312 0.3415 0.5150  3 Mg 3.45-3.59, 6 La 3.51-3.81
6 La 0.4377 0.9686 0.1910  1 N 2.44
7 La 0.5623 0.0314 0.8090  1 N 2.44
8 La 0.5688 0.6585 0.4850  3 Mg 3.45-3.59, 6 La 3.51-3.81
9 La 0.6585 0.5688 0.9850  3 Mg 3.45-3.59, 6 La 3.51-3.81
10 La 0.8294 0.9453 0.3033  3 N 2.41-2.61
11 La 0.9453 0.8294 0.8033  3 N 2.41-2.61
12 La 0.9686 0.4377 0.6910  1 N 2.44
13 Mg 0.2092 0.7908 0.2500  2 N 2.35
14 Mg 0.2860 0.7140 0.7500  2 N 2.60
15 Mg 0.7140 0.2860 0.2500  2 N 2.60
16 Mg 0.7908 0.2092 0.7500  2 N 2.35
17 N 0.0581 0.8235 0.4875  2 Mg 2.35-2.60, 4 La 2.41-2.61
18 N 0.1765 0.9419 0.0125  2 Mg 2.35-2.60, 4 La 2.41-2.61
19 N 0.8235 0.0581 0.9875  2 Mg 2.35-2.60, 4 La 2.41-2.61
20 N 0.9419 0.1765 0.5125  2 Mg 2.35-2.60, 4 La 2.41-2.61

Results
**E above lowest polymorph**: 1.13 eV/f.u.
**Crystal system**: monoclinic
**Energy relative to the elements, uncorrected**: -0.396 eV/atom

***

No. 6
A relaxed La6Mg2N crystal. Source: the Alexandria database, functional PBE-GGA.

abc: 7.3611 7.3611 7.3588
angles: 119.97 119.97 59.97
Last column: nearest neighbours and their distance in Å.
Positions (direct):
1 La 0.2376 0.7595 0.7376  1 N 2.49
2 La 0.2392 0.2392 0.7419  1 N 2.49
3 La 0.2405 0.7624 0.2624  1 N 2.49
4 La 0.7595 0.2376 0.7376  1 N 2.49
5 La 0.7608 0.7608 0.2581  1 N 2.49
6 La 0.7624 0.2405 0.2624  1 N 2.49
7 Mg 0.2501 0.2501 0.2500  12 La 3.66-3.70
8 Mg 0.7499 0.7499 0.7500  12 La 3.66-3.70
9 N 0.0000 0.0000 0.5000  6 La 2.49

Results
**Crystal system**: monoclinic
**Energy relative to the elements, uncorrected**: -0.323 eV/atom

***

No. 7
A relaxed La3MgN crystal. Source: the Alexandria database, functional PBE-GGA.

abc: 9.1646 9.1646 9.1646
angles: 41.30 41.30 41.30
Last column: nearest neighbours and their distance in Å.
Positions (direct):
1 La 0.0852 0.4446 0.7972  2 N 2.52-2.56
2 La 0.2028 0.9148 0.5554  2 N 2.52-2.56
3 La 0.4446 0.7972 0.0852  2 N 2.52-2.56
4 La 0.5554 0.2028 0.9148  2 N 2.52-2.56
5 La 0.7972 0.0852 0.4446  2 N 2.52-2.56
6 La 0.9148 0.5554 0.2028  2 N 2.52-2.56
7 Mg 0.3358 0.3358 0.3358  6 La 3.48-3.53, 3 Mg 3.73
8 Mg 0.6642 0.6642 0.6642  6 La 3.48-3.53, 3 Mg 3.73
9 N 0.1648 0.1648 0.1648  6 La 2.52-2.56
10 N 0.8352 0.8352 0.8352  6 La 2.52-2.56

Results
**E above lowest polymorph**: 1.03 eV/f.u.
**Crystal system**: trigonal
**Energy relative to the elements, uncorrected**: -0.417 eV/atom

***

No. 8
A relaxed La3MgN3 crystal. Source: the Alexandria database, functional PBE-GGA.

abc: 3.7456 3.7456 9.6604
angles: 90.00 90.00 90.00
Last column: nearest neighbours and their distance in Å.
Positions (direct):
1 La 0.0000 0.0000 0.0000  6 N 2.59-2.65
2 La 0.5000 0.5000 0.2676  5 N 2.58-2.65
3 La 0.5000 0.5000 0.7324  5 N 2.58-2.65
4 Mg 0.0000 0.0000 0.5000  2 N 2.24
5 N 0.0000 0.0000 0.2678  1 Mg 2.24
6 N 0.0000 0.0000 0.7322  1 Mg 2.24
7 N 0.5000 0.5000 0.0000  6 La 2.58-2.65

Results
**Crystal system**: tetragonal
**Energy relative to the elements, uncorrected**: -1.095 eV/atom

***

No. 9
A relaxed La3MgN crystal. Source: the Alexandria database, functional PBE-GGA.

abc: 9.4130 9.4130 6.4095
angles: 91.13 91.13 99.82
Last column: nearest neighbours and their distance in Å.
Positions (direct):
1 La 0.0670 0.7121 0.5973  1 N 2.48
2 La 0.1994 0.5694 0.0793  2 N 2.48-2.57
3 La 0.2879 0.9330 0.9027  1 N 2.48
4 La 0.3172 0.4436 0.5869  3 N 2.53-2.64
5 La 0.4306 0.8006 0.4207  2 N 2.48-2.57
6 La 0.4436 0.3172 0.0869  3 N 2.53-2.64
7 La 0.5564 0.6828 0.9131  3 N 2.53-2.64
8 La 0.5694 0.1994 0.5793  2 N 2.48-2.57
9 La 0.6828 0.5564 0.4131  3 N 2.53-2.64
10 La 0.7121 0.0670 0.0973  1 N 2.48
11 La 0.8006 0.4306 0.9207  2 N 2.48-2.57
12 La 0.9330 0.2879 0.4027  1 N 2.48
13 Mg 0.0520 0.1821 0.9016  4 Mg 3.39-3.71, 5 La 3.47-3.60
14 Mg 0.1821 0.0520 0.4016  4 Mg 3.39-3.71, 5 La 3.47-3.60
15 Mg 0.8179 0.9480 0.5984  4 Mg 3.39-3.71, 5 La 3.47-3.60
16 Mg 0.9480 0.8179 0.0984  4 Mg 3.39-3.71, 5 La 3.47-3.60
17 N 0.3074 0.6926 0.7500  6 La 2.48-2.57
18 N 0.4372 0.5628 0.2500  6 La 2.48-2.64
19 N 0.5628 0.4372 0.7500  6 La 2.48-2.64
20 N 0.6926 0.3074 0.2500  6 La 2.48-2.57

Results
**E above lowest polymorph**: 0.55 eV/f.u.
**Crystal system**: monoclinic
**Energy relative to the elements, uncorrected**: -0.513 eV/atom

***

No. 10
A relaxed La3MgN crystal. Source: the Alexandria database, functional PBE-GGA.

abc: 7.2535 7.2535 6.3199
angles: 106.18 106.18 61.70
Last column: nearest neighbours and their distance in Å.
Positions (direct):
1 La 0.0000 0.0000 0.0000  2 N 2.50-2.64
2 La 0.2471 0.7761 0.4986  2 N 2.51-2.55
3 La 0.2646 0.2646 0.5671  1 N 2.42
4 La 0.5080 0.9963 0.0287  2 N 2.57-2.65
5 La 0.7761 0.2471 0.4986  2 N 2.51-2.55
6 La 0.9963 0.5080 0.0287  2 N 2.57-2.65
7 Mg 0.5059 0.5059 0.0204  9 La 3.41-3.72, 1 Mg 3.60
8 Mg 0.7644 0.7644 0.4904  1 N 2.28
9 N 0.1293 0.1293 0.7687  6 La 2.42-2.65
10 N 0.8786 0.8786 0.2729  1 Mg 2.28, 2 La 2.51

Results
**E above lowest polymorph**: 0.36 eV/f.u.
**Crystal system**: monoclinic
**Energy relative to the elements, uncorrected**: -0.550 eV/atom

***

No. 11
A relaxed LaMgN crystal. Source: the Alexandria database, functional PBE-GGA.

abc: 4.4287 4.4287 7.1814
angles: 90.00 90.00 90.00
Last column: nearest neighbours and their distance in Å.
Positions (direct):
1 La 0.2500 0.2500 0.1332  4 N 2.41
2 La 0.7500 0.7500 0.8668  4 N 2.41
3 Mg 0.2500 0.2500 0.6165  6 La 3.47-3.71, 4 N 3.53, 4 Mg 3.55
4 Mg 0.7500 0.7500 0.3835  6 La 3.47-3.71, 4 N 3.53, 4 Mg 3.55
5 N 0.2500 0.7500 0.0000  4 La 2.41
6 N 0.7500 0.2500 0.0000  4 La 2.41

Results
**Crystal system**: tetragonal
**Energy relative to the elements, uncorrected**: -0.602 eV/atom

***

No. 12
A relaxed La3MgN crystal. Source: the Alexandria database, functional PBE-GGA.

abc: 6.6430 6.6840 7.1168
angles: 83.25 63.46 83.65
Last column: nearest neighbours and their distance in Å.
Positions (direct):
1 La 0.0000 0.0000 0.0000  2 N 2.45-2.51
2 La 0.0518 0.4970 0.7978  2 N 2.66-2.71
3 La 0.1061 0.0920 0.4495  2 N 2.53-2.62
4 La 0.4724 0.2820 0.9133  2 N 2.53-2.62
5 La 0.5464 0.8374 0.6092  1 N 2.47
6 La 0.6225 0.3410 0.3667  2 N 2.56-2.58
7 Mg 0.0723 0.5684 0.2789  1 N 2.21
8 Mg 0.5122 0.7712 0.1095  1 Mg 3.03
9 N 0.0527 0.2908 0.1484  1 Mg 2.21, 1 La 2.45
10 N 0.3090 0.1578 0.6771  6 La 2.47-2.66

Results
**E above lowest polymorph**: 0.49 eV/f.u.
**Crystal system**: triclinic
**Energy relative to the elements, uncorrected**: -0.525 eV/atom